Below is a geometry-optimized NiBi2F8 structure, with properties calculated at the PBE+U level.

Geometry as CIF:
```
data_NiBi2F8
_symmetry_space_group_name_H-M 'C 1 2/m 1'
_symmetry_Int_Tables_number 12
_cell_length_a 15.794
_cell_length_b 3.530
_cell_length_c 5.856
_cell_angle_alpha 90.00
_cell_angle_beta 90.45
_cell_angle_gamma 90.00
loop_
_symmetry_equiv_pos_as_xyz
'x,y,z'
'-x,-y,-z'
'-x,y,-z'
'x,-y,z'
'x+1/2,y+1/2,z'
'-x+1/2,-y+1/2,-z'
'-x+1/2,y+1/2,-z'
'x+1/2,-y+1/2,z'
loop_
_atom_site_label
_atom_site_type_symbol
_atom_site_fract_x
_atom_site_fract_y
_atom_site_fract_z
_atom_site_occupancy
Ni1 Ni 0.000 0.000 0.000 1
Bi1 Bi 0.155 0.500 0.329 1
F1 F 0.012 0.500 0.211 1
F2 F 0.102 0.000 0.523 1
F3 F 0.125 0.000 0.045 1
F4 F 0.235 0.500 0.675 1
```

Values from the calculation:
- Magnetization: 2.1 μB/f.u.
- Uncorrected energy: -4.591 eV/atom